Below is a crystal of Ca2CrAg2 relaxed with PBEsol, with properties calculated at the SCAN level.

energy relative to the elements = 0.669 eV/f.u.
size of the total moment = 4.97 μB/f.u.
space-group type = No. 139

Structure (extended XYZ):
```
5
Lattice="-1.902 1.902 8.647 1.902 -1.902 8.647 1.902 1.902 -8.647" Properties=species:S:1:pos:R:3 pbc="T T T"
Ca 0.000 0.000 1.870
Ca 0.000 0.000 15.423
Cr 0.000 0.000 8.647
Ag 1.902 0.000 4.323
Ag 0.000 1.902 4.323
```